No. 1
# Pr8GeAs5

An optimized crystal structure of Pr8GeAs5 (PBE-GGA, the Alexandria database).

Cell lengths 9.1381, 9.1381, 9.1438 Å; angles 90.00, 90.00, 90.00 degrees
Space group I-4 (No. 82)
One atom of each set of equivalent atoms:
Pr: 0.0647 0.1825 0.1909 x8
Pr: 0.0668 0.3164 0.5584 x8
Ge: 0.0000 0.5000 0.2500 x2
As: 0.0000 0.0000 0.5000 x2
As: 0.1256 0.2513 0.8753 x8

## Properties
The raw total energy comes out at -5.91 eV per atom. For the calculated volume, the calculation gives 27.270 Å³/atom. The calculation puts the energy of formation from the pure elements at -16.6 eV per formula unit.

No. 2
# SrRe2P

An optimized crystal structure of SrRe2P (PBE-GGA, the Alexandria database).

Cell lengths 6.5640, 6.5640, 6.5640 Å; angles 90.00, 90.00, 90.00 degrees
Space group F-43m (No. 216)
One atom of each set of equivalent atoms:
Sr: 0.0000 0.0000 0.0000 x4
Re: 0.0000 0.0000 0.5000 x4
Re: 0.2500 0.2500 0.7500 x4
P: 0.2500 0.2500 0.2500 x4

## Properties
The raw total energy comes out at -7.11 eV per atom. For the calculated volume, the calculation gives 17.676 Å³/atom. The calculation puts the energy of formation from the pure elements at 3.5 eV per formula unit.

No. 3
# KScC

An optimized crystal structure of KScC (PBE-GGA, the Alexandria database).

Cell lengths 4.0244, 4.5218, 10.2207 Å; angles 90.00, 90.25, 90.00 degrees
Space group P2_1/m (No. 11)
One atom of each set of equivalent atoms:
K: 0.2466 0.2500 0.2083 x2
Sc: 0.2504 0.2500 0.5343 x2
C: 0.2508 0.7500 0.5691 x2

## Properties
The raw total energy comes out at -5.39 eV per atom. For the calculated volume, the calculation gives 30.999 Å³/atom. The calculation puts the energy of formation from the pure elements at 0.5 eV per formula unit.